## KRbW3 (PBE)

Data for crystalline KRbW3 at its relaxed geometry.

a b c (Å): 4.922 4.922 4.922
angles (deg): 90.00 90.00 90.00
Sites, in units of the cell vectors:
K (0.500, 0.500, 0.500)
W (0.500, 0.000, 0.000)
W (0.000, 0.000, 0.500)
W (0.000, 0.500, 0.000)
Rb (0.000, 0.000, 0.000)

Calculated values
* electronic total energy: -4.143 eV/atom
* polymorph energy (0 for the lowest one): 0.000 eV per atom
* energy of formation from the pure elements: 4.04 eV/atom
* density: 9.418 g cm⁻³
* space group: No. 221